VASP calculation (GGA-PBE) on an optimized crystal structure of LaInSn2C.

Cell: 4.893 4.893 5.073 Å, 90.00 90.00 90.00°
Atoms (fractional coordinates):
La 0.000 0.000 0.000
In 0.500 0.500 0.000
Sn 0.000 0.500 0.500
Sn 0.500 0.000 0.500
C 0.000 0.000 0.500

Properties
Space group: P4/mmm, No. 123
Total magnetization (μB/f.u.): 0.000
ΔE_f (eV per atom): 0.1707
Calculated density (g cm⁻³): 6.9


VASP calculation (GGA-PBE) on an optimized crystal structure of AsPdS2.

Cell: 7.874 7.874 7.874 Å, 25.89 25.89 25.89°
Atoms (fractional coordinates):
As 0.000 0.000 0.000
Pd 0.500 0.500 0.500
S 0.109 0.109 0.109
S 0.891 0.891 0.891

Properties
Space group: R-3m, No. 166
Total magnetization (μB/f.u.): 0.000
Formation energy (no corrections) (kJ/mol of atoms): 8.0
Calculated density (g cm⁻³): 5.0


VASP calculation (GGA-PBE) on an optimized crystal structure of MnZn4Ag3.

Cell: 2.881 2.881 14.911 Å, 90.00 90.00 90.00°
Atoms (fractional coordinates):
Mn 0.000 0.000 0.000
Zn 0.500 0.500 0.110
Zn 0.500 0.500 0.369
Zn 0.500 0.500 0.631
Zn 0.500 0.500 0.890
Ag 0.000 0.000 0.240
Ag 0.000 0.000 0.500
Ag 0.000 0.000 0.760

Properties
Space group: P4/mmm, No. 123
Total magnetization (μB/f.u.): 2.549
ΔE_f (eV per atom): -0.0063
Calculated density (g cm⁻³): 8.6